VInSi: optimized geometry, PBE. Values from VASP.

Output
- E above lowest polymorph: 2.0 meV per atom
- Total energy: -5.851 eV per atom
- Space group: No. 6
- ρ: 5.84 Mg/m³
- Energy relative to the elements, uncorrected: -91 meV/atom

The structure in Quantum ESPRESSO input format:
```
&SYSTEM
  ibrav = 0, nat = 6, ntyp = 3
/
ATOMIC_SPECIES
V 50.94 V.upf
In 114.82 In.upf
Si 28.09 Si.upf
ATOMIC_POSITIONS crystal
V 0.0000 0.0000 0.0000
V 0.4107 0.0000 0.7378
In 0.5396 0.5000 0.5011
In 0.8635 0.5000 0.2362
Si 0.4835 0.5000 0.9533
Si 0.9269 0.5000 0.7838
CELL_PARAMETERS angstrom
3.5187 0.0000 0.0000
0.0000 3.2434 0.0000
-1.2077 0.0000 9.6528
```